## BaNbTeOs2 (meta-GGA SCAN)

Data for a PBEsol-optimized structure of BaNbTeOs2.

**Final energy**: -238.16 eV/cell
**Uncorrected formation energy**: 3.1063 eV per atom
**Space group**: P4/mmm (123)

Lattice parameters (Å, degrees): 4.9642 4.9642 5.8594 90.00 90.00 90.00
With the nearest neighbours (Å) after each atom.
Fractional coordinates of all 5 atoms:
Ba1 0.0000 0.0000 0.0000  4 Os 2.48
Nb1 0.5000 0.5000 0.5000  4 Te 3.51, 8 Os 3.84
Te1 0.0000 0.0000 0.5000  2 Ba 2.93
Os1 0.5000 0.0000 0.0000  2 Ba 2.48
Os2 0.0000 0.5000 0.0000  2 Ba 2.48

---

## Hf2MgCo2 (meta-GGA SCAN)

Data for a PBEsol-optimized structure of Hf2MgCo2.

**Final energy**: -332.03 eV/cell
**Calculated formation energy**: -1.1 eV/f.u.
**Space group**: P4/mbm (127)

Lattice parameters (Å, degrees): 3.0800 7.2212 7.2212 90.00 90.00 90.00
With the nearest neighbours (Å) after each atom.
Fractional coordinates of all 10 atoms:
Hf1 0.5000 0.6560 0.8440  6 Co 2.62
Hf2 0.5000 0.8440 0.3440  6 Co 2.62
Hf3 0.5000 0.3440 0.1560  6 Co 2.62
Hf4 0.5000 0.1560 0.6560  6 Co 2.62
Co1 0.0000 0.3630 0.8630  6 Hf 2.62, 1 Co 2.80, 2 Mg 2.80
Co2 0.0000 0.6370 0.1370  6 Hf 2.62, 1 Co 2.80, 2 Mg 2.80
Co3 0.0000 0.8630 0.6370  6 Hf 2.62, 1 Co 2.80, 2 Mg 2.80
Co4 0.0000 0.1370 0.3630  6 Hf 2.62, 1 Co 2.80, 2 Mg 2.80
Mg1 0.0000 0.5000 0.5000  4 Co 2.80, 2 Mg 3.08, 8 Hf 3.13
Mg2 0.0000 0.0000 0.0000  4 Co 2.80, 2 Mg 3.08, 8 Hf 3.13